1.
# Fe2NiAu, PBEsol geometry, DFT SCAN
data_Fe2NiAu
_chemical_formula_sum 'Fe2 Ni1 Au1'
_symmetry_space_group_name_H-M 'P 1'
_symmetry_Int_Tables_number 1
_cell_length_a 4.538
_cell_length_b 4.538
_cell_length_c 4.391
_cell_angle_alpha 101.40
_cell_angle_beta 101.40
_cell_angle_gamma 34.65
loop_
_symmetry_equiv_pos_as_xyz
'x,y,z'
loop_
_atom_site_label
_atom_site_type_symbol
_atom_site_fract_x
_atom_site_fract_y
_atom_site_fract_z
_atom_site_occupancy
Fe1 Fe 0.244 0.244 0.228 1
Fe2 Fe 0.756 0.756 0.772 1
Ni1 Ni 0.500 0.500 0.000 1
Au1 Au 0.000 0.000 0.500 1
# Offset from the most stable computed form: 157.7 meV/atom
# DOS at the Fermi energy: 0.821 states/eV per atom
# Symmetry: C2/m



2.
# CuNi3S8, PBEsol geometry, DFT SCAN
data_CuNi3S8
_chemical_formula_sum 'Cu1 Ni3 S8'
_symmetry_space_group_name_H-M 'P 1'
_symmetry_Int_Tables_number 1
_cell_length_a 5.562
_cell_length_b 5.562
_cell_length_c 5.562
_cell_angle_alpha 90.35
_cell_angle_beta 90.35
_cell_angle_gamma 90.35
loop_
_symmetry_equiv_pos_as_xyz
'x,y,z'
loop_
_atom_site_label
_atom_site_type_symbol
_atom_site_fract_x
_atom_site_fract_y
_atom_site_fract_z
_atom_site_occupancy
Cu1 Cu 0.000 0.000 0.000 1
Ni1 Ni 0.000 0.500 0.500 1
Ni2 Ni 0.500 0.000 0.500 1
Ni3 Ni 0.500 0.500 0.000 1
S1 S 0.111 0.598 0.888 1
S2 S 0.112 0.889 0.402 1
S3 S 0.392 0.392 0.392 1
S4 S 0.402 0.112 0.889 1
S5 S 0.598 0.888 0.111 1
S6 S 0.608 0.608 0.608 1
S7 S 0.888 0.111 0.598 1
S8 S 0.889 0.402 0.112 1
# DOS at the Fermi energy: 0.192 states/eV per atom
# Energy relative to the elements, uncorrected: -0.35 eV/atom
# Symmetry: R-3



3.
# TaFeNi2, PBEsol geometry, DFT SCAN
data_TaFeNi2
_chemical_formula_sum 'Ta1 Fe1 Ni2'
_symmetry_space_group_name_H-M 'P 1'
_symmetry_Int_Tables_number 1
_cell_length_a 3.560
_cell_length_b 3.560
_cell_length_c 3.733
_cell_angle_alpha 90.00
_cell_angle_beta 90.00
_cell_angle_gamma 90.00
loop_
_symmetry_equiv_pos_as_xyz
'x,y,z'
loop_
_atom_site_label
_atom_site_type_symbol
_atom_site_fract_x
_atom_site_fract_y
_atom_site_fract_z
_atom_site_occupancy
Ta1 Ta 0.000 0.000 0.000 1
Fe1 Fe 0.500 0.500 0.000 1
Ni1 Ni 0.000 0.500 0.500 1
Ni2 Ni 0.500 0.000 0.500 1
# DOS at the Fermi energy: 0.416 states/eV per atom
# DFT total energy: -29.454 eV/atom
# Symmetry: P4/mmm



Q: The lowest DOS at the Fermi energy belongs to which entry?
A: CuNi3S8